{"formula": "Co2NiAgF8", "functional": "PBE+U", "state": "relaxed", "sg": "No. 10", "energy_ev_per_cell": -53.10, "magnetic_moment_mub_per_atom": 0.752, "cell": [[-0.126, 2.673, 3.982], [-4.797, -0.346, 0.142], [0.503, -5.456, 3.677]], "species": ["F", "F", "F", "F", "F", "F", "F", "F", "Ni", "Co", "Co", "Ag"], "frac_coords": [[0.209, 0.791, 0.222], [0.791, 0.209, 0.778], [0.208, 0.791, 0.778], [0.677, 0.678, 0.500], [0.302, 0.302, 0.000], [0.792, 0.209, 0.222], [0.323, 0.322, 0.500], [0.698, 0.698, 0.000], [0.000, 0.000, 0.000], [0.500, 0.500, 0.241], [0.500, 0.500, 0.759], [0.000, 0.000, 0.500]]}